# 1
Here is an optimized crystal structure of ThPtRhO6 from Alexandria. Energies are from PBE-GGA.

Lattice parameters (Å, degrees): 4.9268 4.9268 9.8009 90.00 90.00 90.00
Last column: magnetic moment on the atom in μB.
Sites, in units of the cell vectors:
O (0.7077, 0.7077, 0.3254)  0.04
O (0.3269, 0.3269, 0.9993)  0.04
O (0.7083, 0.7083, 0.6754)  0.07
O (0.2923, 0.2923, 0.3254)  0.04
Pt (0.0000, 0.0000, 0.3298)  0.09
O (0.8269, 0.1731, 0.4993)  0.04
O (0.6731, 0.6731, 0.9993)  0.04
O (0.2077, 0.7923, 0.8254)  0.04
O (0.2083, 0.7917, 0.1754)  0.07
O (0.7923, 0.2077, 0.8254)  0.04
O (0.1731, 0.8269, 0.4993)  0.04
O (0.2917, 0.2917, 0.6754)  0.07
Rh (0.5000, 0.5000, 0.1707)  0.36
Rh (0.0000, 0.0000, 0.6707)  0.36
Th (0.0000, 0.0000, 0.9991)  0.00
Pt (0.5000, 0.5000, 0.8298)  0.09
O (0.7917, 0.2083, 0.1754)  0.07
Th (0.5000, 0.5000, 0.4991)  0.00

- E_tot: -7.120 eV/atom
- Mass density: 8.74 Mg/m³
- Space-group type: No. 102
- Raw formation energy: -1.50 eV/atom

***

# 2
Here is an optimized crystal structure of CdSn2Bi2Pt7 from Alexandria. Energies are from PBE-GGA.

Lattice parameters (Å, degrees): 4.0049 4.0049 16.5509 83.04 83.04 89.99
Sites, in units of the cell vectors:
Sn (0.3803, 0.3803, 0.2385)
Cd (0.0000, 0.0000, 0.0000)
Pt (0.9353, 0.4355, 0.1284)
Sn (0.6197, 0.6197, 0.7615)
Pt (0.5645, 0.0647, 0.8716)
Pt (0.0647, 0.5645, 0.8716)
Bi (0.7869, 0.7869, 0.4262)
Pt (0.5000, 0.5000, 0.0000)
Pt (0.4355, 0.9353, 0.1284)
Bi (0.2131, 0.2131, 0.5738)
Pt (0.6997, 0.6997, 0.6002)
Pt (0.3003, 0.3003, 0.3998)

- Energy relative to the elements: -273 meV/atom
- E_tot: -5.187 eV/atom
- Mass density: 13.55 Mg/m³
- Space-group type: No. 139

***

# 3
Here is an optimized crystal structure of Ac8Tl2Si from Alexandria. Energies are from PBE-GGA.

Lattice parameters (Å, degrees): 5.5928 7.4707 10.8091 102.53 104.99 90.00
Sites, in units of the cell vectors:
Ac (0.4111, 0.5520, 0.8222)
Ac (0.0188, 0.7793, 0.0376)
Tl (0.8163, 0.2483, 0.6326)
Tl (0.1837, 0.7517, 0.3674)
Ac (0.2124, 0.3153, 0.4248)
Si (0.5000, 0.0000, 0.0000)
Ac (0.6509, 0.9805, 0.3017)
Ac (0.5889, 0.4480, 0.1778)
Ac (0.7876, 0.6847, 0.5752)
Ac (0.9812, 0.2207, 0.9624)
Ac (0.3491, 0.0195, 0.6983)

- E_tot: -4.094 eV/atom
- Mass density: 8.80 Mg/m³
- Space-group type: No. 12
- Raw formation energy: -0.18 eV/atom

***

# 4
Here is an optimized crystal structure of Nd3Tm12Th5 from Alexandria. Energies are from PBE-GGA.

Lattice parameters (Å, degrees): 16.2109 16.2109 16.2109 109.47 109.47 109.47
Last column: magnetic moment on the atom in μB.
Sites, in units of the cell vectors:
Tm (0.6436, 0.0751, 0.2291)  0.18
Th (0.0000, 0.0000, 0.5000)  0.01
Tm (0.9145, 0.8460, 0.7709)  0.18
Th (0.0000, 0.5000, 0.5000)  0.01
Th (0.8750, 0.2500, 0.6250)  0.66
Th (0.3750, 0.1250, 0.7500)  0.66
Tm (0.9145, 0.0686, 0.6436)  0.18
Nd (0.6250, 0.3750, 0.7500)  0.10
Tm (0.8564, 0.5855, 0.9314)  0.18
Th (0.2500, 0.3750, 0.6250)  0.66
Th (0.3750, 0.2500, 0.1250)  0.66
Th (0.7500, 0.6250, 0.3750)  0.66
Th (0.2500, 0.8750, 0.1250)  0.66
Th (0.6250, 0.7500, 0.8750)  0.66
Tm (0.7291, 0.1436, 0.0751)  0.18
Tm (0.7709, 0.4249, 0.3564)  0.18
Nd (0.1250, 0.2500, 0.8750)  0.10
Tm (0.0855, 0.9314, 0.3564)  0.18
Tm (0.4249, 0.7709, 0.8564)  0.18
Th (0.5000, 0.5000, 0.5000)  0.01
Th (0.1250, 0.3750, 0.2500)  0.66
Tm (0.5855, 0.8564, 0.4314)  0.18
Nd (0.8750, 0.7500, 0.1250)  0.10
Tm (0.2709, 0.8564, 0.9249)  0.18
Tm (0.4145, 0.1436, 0.5686)  0.18
Tm (0.2709, 0.4145, 0.8460)  0.18
Th (0.1250, 0.7500, 0.3750)  0.66
Tm (0.3564, 0.4314, 0.0855)  0.18
Tm (0.1436, 0.4145, 0.0686)  0.18
Tm (0.4145, 0.2709, 0.3460)  0.18
Nd (0.1250, 0.8750, 0.7500)  0.10
Tm (0.4314, 0.0751, 0.3460)  0.18
Tm (0.4314, 0.3564, 0.5855)  0.18
Tm (0.5686, 0.9249, 0.6540)  0.18
Tm (0.6436, 0.5686, 0.9145)  0.18
Th (0.8750, 0.6250, 0.7500)  0.66
Nd (0.7500, 0.8750, 0.6250)  0.10
Tm (0.5686, 0.6436, 0.4145)  0.18
Nd (0.3750, 0.7500, 0.6250)  0.10
Th (0.5000, 0.5000, 0.0000)  0.01
Nd (0.2500, 0.6250, 0.8750)  0.10
Tm (0.0686, 0.1540, 0.4249)  0.18
Tm (0.3460, 0.7709, 0.4145)  0.18
Th (0.6250, 0.8750, 0.2500)  0.66
Tm (0.8460, 0.9145, 0.2709)  0.18
Tm (0.3564, 0.9249, 0.7709)  0.18
Th (0.7500, 0.1250, 0.8750)  0.66
Nd (0.3750, 0.6250, 0.2500)  0.10
Tm (0.4249, 0.6540, 0.0686)  0.18
Tm (0.1436, 0.7291, 0.5751)  0.18
Tm (0.2291, 0.6540, 0.0855)  0.18
Tm (0.0855, 0.1540, 0.2291)  0.18
Tm (0.5751, 0.3460, 0.9314)  0.18
Nd (0.8750, 0.1250, 0.2500)  0.10
Th (0.5000, 0.0000, 0.0000)  0.01
Tm (0.1540, 0.0855, 0.7291)  0.18
Nd (0.2500, 0.1250, 0.3750)  0.10
Tm (0.5855, 0.7291, 0.6540)  0.18
Tm (0.5751, 0.2291, 0.1436)  0.18
Nd (0.6250, 0.2500, 0.3750)  0.10
Tm (0.8460, 0.9314, 0.0751)  0.18
Tm (0.0751, 0.4314, 0.8460)  0.18
Tm (0.6540, 0.2291, 0.5855)  0.18
Th (0.5000, 0.0000, 0.5000)  0.01
Th (0.0000, 0.0000, 0.0000)  0.01
Tm (0.9249, 0.3564, 0.2709)  0.18
Th (0.0000, 0.5000, 0.0000)  0.01
Tm (0.7709, 0.3460, 0.9145)  0.18
Tm (0.3460, 0.5751, 0.4314)  0.18
Tm (0.9249, 0.5686, 0.1540)  0.18
Nd (0.7500, 0.3750, 0.1250)  0.10
Tm (0.0686, 0.9145, 0.1436)  0.18
Tm (0.6540, 0.4249, 0.5686)  0.18
Tm (0.9314, 0.8460, 0.5751)  0.18
Tm (0.0751, 0.6436, 0.7291)  0.18
Tm (0.2291, 0.5751, 0.6436)  0.18
Tm (0.9314, 0.0855, 0.8564)  0.18
Tm (0.1540, 0.0686, 0.9249)  0.18
Tm (0.8564, 0.2709, 0.4249)  0.18
Tm (0.7291, 0.5855, 0.1540)  0.18

- Energy relative to the elements: 1243 meV/atom
- E_tot: -4.010 eV/atom
- Mass density: 7.33 Mg/m³
- Space-group type: No. 230

***

# 5
Here is an optimized crystal structure of TaMo2As from Alexandria. Energies are from PBE-GGA.

Lattice parameters (Å, degrees): 4.5346 2.9587 5.1014 75.02 90.00 90.00
Sites, in units of the cell vectors:
Ta (0.0000, 0.4278, 0.5050)
Mo (0.5000, 0.2300, 0.2238)
Mo (0.0000, 0.9182, 0.0141)
As (0.5000, 0.9240, 0.7571)

- Energy relative to the elements: 14 meV/atom
- E_tot: -9.527 eV/atom
- Mass density: 11.25 Mg/m³
- Space-group type: No. 6

***

# 6
Here is an optimized crystal structure of Rb2NbBr6Cl from Alexandria. Energies are from PBE-GGA.

Lattice parameters (Å, degrees): 8.2551 8.2551 8.2594 60.02 60.02 90.00
Sites, in units of the cell vectors:
Br (0.7805, 0.2195, 0.0000)
Br (0.2193, 0.2193, 0.5614)
Br (0.2195, 0.2195, 0.0000)
Br (0.7807, 0.7807, 0.4386)
Rb (0.7500, 0.2500, 0.5000)
Br (0.7805, 0.7805, 0.0000)
Rb (0.2500, 0.7500, 0.5000)
Nb (0.0000, 0.0000, 0.0000)
Br (0.2195, 0.7805, 0.0000)
Cl (0.5000, 0.5000, 0.0000)

- E above lowest polymorph: 0.120 eV per atom
- E_tot: -3.484 eV/atom
- Mass density: 3.25 Mg/m³
- Space-group type: No. 225
- Raw formation energy: -1.09 eV/atom

***

# 7
Here is an optimized crystal structure of LaCd4Pt4 from Alexandria. Energies are from PBE-GGA.

Lattice parameters (Å, degrees): 5.4304 8.8880 8.8880 90.00 90.00 90.00
Sites, in units of the cell vectors:
Cd (0.4019, 0.3457, 0.8982)
Pt (0.0918, 0.1414, 0.2869)
Pt (0.9082, 0.2869, 0.8586)
Cd (0.9019, 0.6018, 0.8457)
Pt (0.5918, 0.7869, 0.3586)
La (0.0000, 0.0000, 0.0000)
Cd (0.4019, 0.6543, 0.1018)
Pt (0.4082, 0.3586, 0.2131)
Pt (0.0918, 0.8586, 0.7131)
Pt (0.4082, 0.6414, 0.7869)
Cd (0.9019, 0.3982, 0.1543)
Pt (0.9082, 0.7131, 0.1414)
Cd (0.0981, 0.1543, 0.6018)
La (0.5000, 0.5000, 0.5000)
Cd (0.0981, 0.8457, 0.3982)
Cd (0.5981, 0.1018, 0.3457)
Cd (0.5981, 0.8982, 0.6543)
Pt (0.5918, 0.2131, 0.6414)

- Energy relative to the elements: -346 meV/atom
- E_tot: -3.985 eV/atom
- Mass density: 10.60 Mg/m³
- Space-group type: No. 86

***

# 8
Here is an optimized crystal structure of ScNiAs2 from Alexandria. Energies are from PBE-GGA.

Lattice parameters (Å, degrees): 3.6569 5.2339 5.2987 43.06 90.00 90.00
Sites, in units of the cell vectors:
As (0.5000, 0.5000, 0.0000)
As (0.0000, 0.0000, 0.0000)
Ni (0.5000, 0.5000, 0.5000)
Sc (0.0000, 0.0000, 0.5000)

- Energy relative to the elements: -499 meV/atom
- E_tot: -5.851 eV/atom
- Mass density: 6.08 Mg/m³
- Space-group type: No. 10

***

# 9
Here is an optimized crystal structure of Sb2RuO2 from Alexandria. Energies are from PBE-GGA.

Lattice parameters (Å, degrees): 7.6254 7.6254 3.1722 90.00 90.00 90.00
Last column: magnetic moment on the atom in μB.
Sites, in units of the cell vectors:
O (0.8780, 0.3780, 0.5000)  0.00
Ru (0.0000, 0.0000, 0.0000)  0.80
Ru (0.5000, 0.5000, 0.0000)  0.80
Sb (0.2382, 0.7382, 0.0000)  -0.01
O (0.6220, 0.8780, 0.5000)  0.00
Sb (0.2618, 0.2382, 0.0000)  -0.01
O (0.3780, 0.1220, 0.5000)  0.00
Sb (0.7382, 0.7618, 0.0000)  -0.01
O (0.1220, 0.6220, 0.5000)  0.00
Sb (0.7618, 0.2618, 0.0000)  -0.01

- E above lowest polymorph: 0.049 eV per atom
- E_tot: -5.732 eV/atom
- Mass density: 6.78 Mg/m³
- Space-group type: No. 127
- Raw formation energy: -0.24 eV/atom

***

# 10
Here is an optimized crystal structure of NpCd2GaO6 from Alexandria. Energies are from PBE-GGA.

Lattice parameters (Å, degrees): 5.5187 5.7862 5.7131 120.42 119.92 90.00
Last column: magnetic moment on the atom in μB.
Sites, in units of the cell vectors:
O (0.8062, 0.8284, 0.1353)  -0.03
Ga (0.5000, 0.0000, 0.0000)  0.00
O (0.3803, 0.7510, 0.5019)  -0.05
O (0.6197, 0.2490, 0.4981)  -0.05
Cd (0.2203, 0.2501, 0.5002)  0.01
O (0.8062, 0.3068, 0.1353)  -0.03
Np (0.0000, 0.5000, 0.0000)  2.19
Cd (0.7797, 0.7499, 0.4998)  0.01
O (0.1938, 0.6932, 0.8647)  -0.03
O (0.1938, 0.1716, 0.8647)  -0.03

- E_tot: -6.596 eV/atom
- Mass density: 8.12 Mg/m³
- Space-group type: No. 12
- Raw formation energy: -1.84 eV/atom

***

# 11
Here is an optimized crystal structure of CrAg3Bi from Alexandria. Energies are from PBE-GGA.

Lattice parameters (Å, degrees): 5.0039 5.0039 5.0039 90.00 90.00 90.00
Last column: magnetic moment on the atom in μB.
Sites, in units of the cell vectors:
Bi (0.5000, 0.5000, 0.5000)  -0.09
Ag (0.0000, 0.5000, 0.0000)  0.11
Ag (0.0000, 0.0000, 0.5000)  0.13
Ag (0.5000, 0.0000, 0.0000)  0.08
Cr (0.0000, 0.0000, 0.0000)  3.86

- Energy relative to the elements: 886 meV/atom
- E above lowest polymorph: 0.000 eV per atom
- E_tot: -3.526 eV/atom
- Mass density: 7.75 Mg/m³
- Space-group type: No. 221

***

# 12
Here is an optimized crystal structure of TcPb3 from Alexandria. Energies are from PBE-GGA.

Lattice parameters (Å, degrees): 3.3171 4.4389 7.5712 90.00 90.00 90.00
Last column: magnetic moment on the atom in μB.
Sites, in units of the cell vectors:
Pb (0.5000, 0.0000, 0.4199)  -0.02
Pb (0.0000, 0.0000, 0.0391)  0.00
Tc (0.0000, 0.5000, 0.4427)  0.48
Pb (0.5000, 0.5000, 0.7650)  -0.01

- Energy relative to the elements: 561 meV/atom
- E above lowest polymorph: 0.254 eV per atom
- E_tot: -4.812 eV/atom
- Mass density: 10.72 Mg/m³
- Space-group type: No. 25

***

# 13
Here is an optimized crystal structure of Y2O3 from Alexandria. Energies are from PBE-GGA.

Lattice parameters (Å, degrees): 6.0966 6.0966 6.0966 57.10 57.10 57.10
Sites, in units of the cell vectors:
Y (0.8582, 0.8582, 0.8582)
O (0.7500, 0.0432, 0.4568)
O (0.5432, 0.2500, 0.9568)
O (0.2500, 0.9568, 0.5432)
O (0.0432, 0.4568, 0.7500)
Y (0.3582, 0.3582, 0.3582)
Y (0.1418, 0.1418, 0.1418)
O (0.9568, 0.5432, 0.2500)
O (0.4568, 0.7500, 0.0432)
Y (0.6418, 0.6418, 0.6418)

- E_tot: -9.061 eV/atom
- Mass density: 5.02 Mg/m³
- Space-group type: No. 167
- Raw formation energy: -3.50 eV/atom

***

# 14
Here is an optimized crystal structure of La2CeS5 from Alexandria. Energies are from PBE-GGA.

Lattice parameters (Å, degrees): 7.5908 8.2837 12.0502 90.00 90.00 90.00
Sites, in units of the cell vectors:
Ce (0.0685, 0.2500, 0.0086)
S (0.3362, 0.5396, 0.5938)
Ce (0.9315, 0.7500, 0.9914)
S (0.1909, 0.2500, 0.7863)
S (0.1647, 0.7500, 0.8103)
S (0.0462, 0.2500, 0.5021)
S (0.4538, 0.2500, 0.0021)
S (0.6638, 0.0396, 0.4062)
S (0.3091, 0.2500, 0.2863)
S (0.8091, 0.7500, 0.2137)
S (0.6909, 0.7500, 0.7137)
S (0.3362, 0.9604, 0.5938)
S (0.6638, 0.4604, 0.4062)
La (0.4725, 0.9985, 0.8239)
S (0.3353, 0.7500, 0.3103)
La (0.9725, 0.4985, 0.6761)
Ce (0.4315, 0.2500, 0.5086)
La (0.5275, 0.4985, 0.1761)
Ce (0.5685, 0.7500, 0.4914)
La (0.0275, 0.9985, 0.3239)
S (0.8362, 0.0396, 0.9062)
S (0.8353, 0.2500, 0.1897)
S (0.1638, 0.9604, 0.0938)
S (0.6647, 0.2500, 0.6897)
S (0.5462, 0.7500, 0.9979)
La (0.9725, 0.0015, 0.6761)
La (0.5275, 0.0015, 0.1761)
S (0.1638, 0.5396, 0.0938)
S (0.9538, 0.7500, 0.4979)
La (0.0275, 0.5015, 0.3239)
La (0.4725, 0.5015, 0.8239)
S (0.8362, 0.4604, 0.9062)

- E_tot: -6.636 eV/atom
- Mass density: 5.07 Mg/m³
- Space-group type: No. 62
- Raw formation energy: -2.08 eV/atom

***

# 15
Here is an optimized crystal structure of ScTc2Pb from Alexandria. Energies are from PBE-GGA.

Lattice parameters (Å, degrees): 3.1049 4.0080 5.8524 90.00 90.00 90.00
Sites, in units of the cell vectors:
Tc (0.5000, 0.5000, 0.2160)
Sc (0.5000, 0.5000, 0.7802)
Pb (0.0000, 0.0000, 0.4916)
Tc (0.0000, 0.0000, 0.0121)

- Energy relative to the elements: 157 meV/atom
- E above lowest polymorph: 0.173 eV per atom
- E_tot: -7.536 eV/atom
- Mass density: 10.22 Mg/m³
- Space-group type: No. 25

***

# 16
Here is an optimized crystal structure of ErCdO from Alexandria. Energies are from PBE-GGA.

Lattice parameters (Å, degrees): 3.8735 3.8735 7.9707 90.00 90.00 90.00
Sites, in units of the cell vectors:
O (0.2500, 0.2500, 0.5000)
Cd (0.7500, 0.2500, 0.0841)
O (0.7500, 0.7500, 0.5000)
Er (0.2500, 0.7500, 0.3659)
Cd (0.2500, 0.7500, 0.9159)
Er (0.7500, 0.2500, 0.6341)

- E_tot: -5.582 eV/atom
- Mass density: 8.21 Mg/m³
- Space-group type: No. 129
- Raw formation energy: -2.10 eV/atom

***

# 17
Here is an optimized crystal structure of LaScIrRh from Alexandria. Energies are from PBE-GGA.

Lattice parameters (Å, degrees): 4.8446 4.8446 4.8446 60.00 60.00 60.00
Sites, in units of the cell vectors:
Sc (0.0000, 0.0000, 0.0000)
Rh (0.7500, 0.7500, 0.7500)
Ir (0.2500, 0.2500, 0.2500)
La (0.5000, 0.5000, 0.5000)

- Energy relative to the elements: -704 meV/atom
- E_tot: -7.571 eV/atom
- Mass density: 9.89 Mg/m³
- Space-group type: No. 216

***

# 18
Here is an optimized crystal structure of YBeFe2 from Alexandria. Energies are from PBE-GGA.

Lattice parameters (Å, degrees): 4.1679 4.1679 8.2877 75.44 75.44 90.00
Last column: magnetic moment on the atom in μB.
Sites, in units of the cell vectors:
Be (0.5000, 0.5000, 0.0000)  -0.05
Y (0.0000, 0.0000, 0.0000)  -0.09
Fe (0.8750, 0.6250, 0.7500)  0.65
Fe (0.3750, 0.1250, 0.2500)  0.85
Fe (0.3750, 0.6250, 0.7500)  0.64
Be (0.2500, 0.7500, 0.5000)  -0.05
Fe (0.3750, 0.6250, 0.2500)  0.86
Y (0.7500, 0.2500, 0.5000)  -0.09

- Energy relative to the elements: 363 meV/atom
- E_tot: -6.416 eV/atom
- Mass density: 5.17 Mg/m³
- Space-group type: No. 141

***

# 19
Here is an optimized crystal structure of Li2SiMo from Alexandria. Energies are from PBE-GGA.

Lattice parameters (Å, degrees): 5.0138 5.0138 5.0138 148.14 127.24 62.96
Sites, in units of the cell vectors:
Si (0.2356, 0.7356, 0.5000)
Li (0.9979, 0.9979, 0.0000)
Mo (0.4984, 0.4984, 0.0000)
Li (0.7681, 0.2681, 0.5000)

- E_tot: -4.836 eV/atom
- Mass density: 4.37 Mg/m³
- Space-group type: No. 44
- Raw formation energy: 0.18 eV/atom

***

# 20
Here is an optimized crystal structure of InAs3H from Alexandria. Energies are from PBE-GGA.

Lattice parameters (Å, degrees): 4.4428 4.4428 4.4428 90.00 90.00 90.00
Sites, in units of the cell vectors:
In (0.5000, 0.5000, 0.5000)
As (0.0000, 0.5000, 0.0000)
As (0.0000, 0.0000, 0.5000)
As (0.5000, 0.0000, 0.0000)
H (0.0000, 0.0000, 0.0000)

- E above lowest polymorph: 0.000 eV per atom
- E_tot: -3.476 eV/atom
- Mass density: 6.45 Mg/m³
- Space-group type: No. 221